No. 1
Entry from Alexandria via LeMat-Bulk: K5Cd2Au5 after structural relaxation (PBE).

Computed properties:
The value obtained for the formation energy is -0.2573 eV per atom. The total magnetization is 0.000 μB per cell. The density of states at the Fermi level is 2.88 states/eV per cell. The volume is 393 Å³/f.u.

abc: 16.930 4.627 12.811
angles: 90.00 128.34 90.00
Space group C2/m (No. 12)
Unique sites:
K1 0.000 0.000 0.000
K2 0.132 0.500 0.821
K3 0.187 0.500 0.595
Cd1 0.110 0.500 0.271
Au1 0.000 0.000 0.500
Au2 0.063 0.000 0.345
Au3 0.194 0.500 0.135

No. 2
Entry from Alexandria via LeMat-Bulk: K4CdAu after structural relaxation (PBE).

Computed properties:
The value obtained for the formation energy is -0.1148 eV per atom. The total magnetization is 0.000 μB per cell. The density of states at the Fermi level is 12.87 states/eV per cell. The energy above the most stable polymorph in this dataset comes out at 0.000 eV per atom. The volume is 275 Å³/f.u.

abc: 10.658 15.831 7.323
angles: 90.00 117.18 90.00
Space group C2/c (No. 15)
Unique sites:
K1 0.114 0.171 0.079
K2 0.211 0.432 0.313
Cd1 0.000 0.365 0.750
Au1 0.000 0.000 0.250

No. 3
Entry from Alexandria via LeMat-Bulk: KCd3Au after structural relaxation (PBE).

Computed properties:
The value obtained for the formation energy is -0.1061 eV per atom. The total magnetization is 0.000 μB per cell. The density of states at the Fermi level is 3.49 states/eV per cell. The energy above the most stable polymorph in this dataset comes out at 0.069 eV per atom. The volume is 138 Å³/f.u.

abc: 7.1756 7.1756 6.1780
angles: 90.00 90.00 120.00
Space group P6_3/mmc (No. 194)
Unique sites:
K1 0.3333 0.6667 0.2500
Cd1 0.1923 0.3846 0.7500
Au1 0.0000 0.0000 0.0000

What did the second record say?
Entry from Alexandria via LeMat-Bulk: K4CdAu after structural relaxation (PBE).

Computed properties:
The value obtained for the formation energy is -0.1148 eV per atom. The total magnetization is 0.000 μB per cell. The density of states at the Fermi level is 12.87 states/eV per cell. The energy above the most stable polymorph in this dataset comes out at 0.000 eV per atom. The volume is 275 Å³/f.u.

abc: 10.658 15.831 7.323
angles: 90.00 117.18 90.00
Space group C2/c (No. 15)
Unique sites:
K1 0.114 0.171 0.079
K2 0.211 0.432 0.313
Cd1 0.000 0.365 0.750
Au1 0.000 0.000 0.250

Q: total magnetization of number 2 (K4CdAu)?
A: 0.000 μB per cell

Q: Which of these has the lowest formation energy?
A: K5Cd2Au5

Please write out number 1 again, unchanged.
Entry from Alexandria via LeMat-Bulk: K5Cd2Au5 after structural relaxation (PBE).

Computed properties:
The value obtained for the formation energy is -0.2573 eV per atom. The total magnetization is 0.000 μB per cell. The density of states at the Fermi level is 2.88 states/eV per cell. The volume is 393 Å³/f.u.

abc: 16.930 4.627 12.811
angles: 90.00 128.34 90.00
Space group C2/m (No. 12)
Unique sites:
K1 0.000 0.000 0.000
K2 0.132 0.500 0.821
K3 0.187 0.500 0.595
Cd1 0.110 0.500 0.271
Au1 0.000 0.000 0.500
Au2 0.063 0.000 0.345
Au3 0.194 0.500 0.135